one:
TaTi3H | PBE | relaxed

Lattice parameters (Å, degrees): 4.8481 4.8481 4.8481 90.00 90.00 90.00
With the nearest neighbours (Å) after each atom.
Element x y z (fractional)
Ti 0.5000 0.0000 0.0000  2 Ta 2.42
Ti 0.0000 0.0000 0.5000  2 Ta 2.42
Ti 0.0000 0.5000 0.0000  2 Ta 2.42
H 0.5000 0.5000 0.5000  12 Ti 3.43
Ta 0.0000 0.0000 0.0000  6 Ti 2.42

Density, g cm⁻³: 4.74
Space-group type: No. 221

two:
TaTi3H | PBE | relaxed

Lattice parameters (Å, degrees): 4.1445 4.1445 4.1445 90.00 90.00 90.00
With the nearest neighbours (Å) after each atom.
Element x y z (fractional)
H 0.0000 0.0000 0.0000  6 Ti 2.07
Ti 0.5000 0.0000 0.0000  2 H 2.07
Ti 0.0000 0.0000 0.5000  2 H 2.07
Ti 0.0000 0.5000 0.0000  2 H 2.07
Ta 0.5000 0.5000 0.5000  12 Ti 2.93

Density, g cm⁻³: 7.59
Space-group type: No. 221

Q: Which of them is the most stable? A: two.

one:
TaTi2H2 | PBE | relaxed

Lattice parameters (Å, degrees): 3.2703 3.2703 5.7543 73.49 73.49 90.00
With the nearest neighbours (Å) after each atom.
Element x y z (fractional)
H 0.7500 0.2500 0.5000  4 Ti 1.92
H 0.2500 0.7500 0.5000  4 Ti 1.92
Ti 0.6553 0.6553 0.6894  4 H 1.92
Ti 0.3447 0.3447 0.3106  4 H 1.92
Ta 0.0000 0.0000 0.0000  8 Ti 2.83, 8 H 3.10

Density, g cm⁻³: 8.21
Space-group type: No. 139

two:
TaTi2H2 | PBE | relaxed

Lattice parameters (Å, degrees): 5.5996 5.5460 5.7822 59.42 57.92 50.75
With the nearest neighbours (Å) after each atom.
Element x y z (fractional)
H 0.6068 0.1110 0.9934  3 Ti 1.89-1.95, 1 Ta 1.91
H 0.8454 0.0789 0.3836  3 Ti 1.88-1.91, 1 Ta 1.94
H 0.3932 0.8890 0.0066  3 Ti 1.89-1.95, 1 Ta 1.91
H 0.1546 0.9211 0.6164  3 Ti 1.88-1.91, 1 Ta 1.94
Ti 0.1814 0.1727 0.2403  4 H 1.88-1.95
Ti 0.8186 0.8273 0.7597  4 H 1.88-1.95
Ti 0.4994 0.5242 0.7361  2 H 1.88-1.89
Ti 0.5006 0.4758 0.2639  2 H 1.88-1.89
Ta 0.1547 0.1852 0.7418  2 H 1.91-1.94
Ta 0.8453 0.8148 0.2582  2 H 1.91-1.94

Density, g cm⁻³: 8.14
Space-group type: No. 2

Q: Which of them is the most stable? A: one.

one:
TaTi2H | PBE | relaxed

Lattice parameters (Å, degrees): 2.7665 2.7665 7.1263 90.00 90.00 90.00
With the nearest neighbours (Å) after each atom.
Element x y z (fractional)
Ti 0.0000 0.0000 0.1832  4 H 2.35, 1 Ti 2.61
Ti 0.0000 0.0000 0.8168  4 H 2.35, 1 Ti 2.61
H 0.5000 0.5000 0.0000  8 Ti 2.35
Ta 0.5000 0.5000 0.5000  4 Ta 2.77, 8 Ti 2.99

Density, g cm⁻³: 8.45
Space-group type: No. 123

two:
TaTi2H | PBE | relaxed

Lattice parameters (Å, degrees): 5.5262 5.5262 5.4360 59.45 59.45 90.00
With the nearest neighbours (Å) after each atom.
Element x y z (fractional)
Ta 0.7500 0.2500 0.5000  8 Ti 2.90-3.18
Ta 0.0000 0.0000 0.0000  8 Ti 2.90-3.18
Ti 0.4467 0.6250 0.2500  2 H 1.72
Ti 0.8750 0.5533 0.7500  2 H 1.72
Ti 0.3033 0.1250 0.2500  2 H 1.72
Ti 0.3750 0.6967 0.7500  2 H 1.72
H 0.2500 0.7500 0.5000  4 Ti 1.72
H 0.5000 0.5000 0.0000  4 Ti 1.72

Density, g cm⁻³: 7.99
Space-group type: No. 122

three:
TaTi2H | PBE | relaxed

Lattice parameters (Å, degrees): 2.8675 2.8675 7.9939 79.67 79.67 60.00
With the nearest neighbours (Å) after each atom.
Element x y z (fractional)
Ta 0.0000 0.0000 0.0000  2 Ti 2.66, 6 Ta 2.87
Ti 0.1132 0.1132 0.6604  3 H 2.08
Ti 0.8868 0.8868 0.3396  3 H 2.08
H 0.5000 0.5000 0.5000  6 Ti 2.08

Density, g cm⁻³: 8.28
Space-group type: No. 166

four:
TaTi2H | PBE | relaxed

Lattice parameters (Å, degrees): 4.3770 4.3770 4.3770 60.00 60.00 60.00
With the nearest neighbours (Å) after each atom.
Element x y z (fractional)
Ti 0.7500 0.7500 0.7500  4 H 2.68, 4 Ta 2.68
Ti 0.2500 0.2500 0.2500  4 Ta 2.68, 4 H 2.68
Ta 0.5000 0.5000 0.5000  8 Ti 2.68
H 0.0000 0.0000 0.0000  8 Ti 2.68

Density, g cm⁻³: 7.78
Space-group type: No. 225

Q: Which of them is the most stable? A: three.

one:
TaTiH3 | PBE | relaxed

Lattice parameters (Å, degrees): 3.5556 3.5556 3.5556 90.00 90.00 90.00
With the nearest neighbours (Å) after each atom.
Element x y z (fractional)
H 0.0000 0.0000 0.5000  2 Ta 1.78
H 0.0000 0.5000 0.0000  2 Ta 1.78
H 0.5000 0.0000 0.0000  2 Ta 1.78
Ta 0.0000 0.0000 0.0000  6 H 1.78
Ti 0.5000 0.5000 0.5000  12 H 2.51

Density, g cm⁻³: 8.56
Space-group type: No. 221

two:
TaTiH3 | PBE | relaxed

Lattice parameters (Å, degrees): 3.4511 3.4511 3.4511 90.00 90.00 90.00
With the nearest neighbours (Å) after each atom.
Element x y z (fractional)
H 0.5000 0.0000 0.0000  2 Ti 1.73
H 0.0000 0.0000 0.5000  2 Ti 1.73
H 0.0000 0.5000 0.0000  2 Ti 1.73
Ti 0.0000 0.0000 0.0000  6 H 1.73
Ta 0.5000 0.5000 0.5000  12 H 2.44

Density, g cm⁻³: 9.37
Space-group type: No. 221

three:
TaTiH3 | PBE | relaxed

Lattice parameters (Å, degrees): 4.9265 4.9265 4.8784 59.67 59.67 60.00
With the nearest neighbours (Å) after each atom.
Element x y z (fractional)
H 0.0048 0.7553 0.7458  2 Ti 1.91-1.93, 2 Ta 1.95, 2 H 2.05-2.13
H 0.4941 0.0048 0.7458  2 Ti 1.91-1.93, 2 Ta 1.95, 2 H 2.05-2.13
H 0.5059 0.2447 0.2542  2 Ti 1.91-1.93, 2 Ta 1.95, 2 H 2.05-2.13
H 0.9952 0.5059 0.2542  2 Ti 1.91-1.93, 2 Ta 1.95, 2 H 2.05-2.13
H 0.2447 0.9952 0.2542  2 Ti 1.91-1.93, 2 Ta 1.95, 2 H 2.05-2.13
H 0.7553 0.4941 0.7458  2 Ti 1.91-1.93, 2 Ta 1.95, 2 H 2.05-2.13
Ti 0.1250 0.1250 0.6249  6 H 1.91-1.93
Ti 0.8750 0.8750 0.3751  6 H 1.91-1.93
Ta 0.6258 0.6258 0.1226  6 H 1.95
Ta 0.3742 0.3742 0.8774  6 H 1.95

Density, g cm⁻³: 9.24
Space-group type: No. 155

four:
TaTiH3 | PBE | relaxed

Lattice parameters (Å, degrees): 2.8685 4.8632 12.1759 90.00 90.00 90.00
With the nearest neighbours (Å) after each atom.
Element x y z (fractional)
Ti 0.7482 0.2500 0.9280  6 H 1.93-1.96
Ti 0.2518 0.2500 0.4280  6 H 1.93-1.96
Ti 0.2518 0.7500 0.0720  6 H 1.93-1.96
Ti 0.7482 0.7500 0.5720  6 H 1.93-1.96
H 0.7520 0.9856 0.4413  3 Ti 1.93-1.96, 1 Ta 1.94, 2 H 2.02-2.04
H 0.2603 0.5000 0.2500  4 Ta 2.03-2.04
H 0.7397 0.0000 0.7500  4 Ta 2.03-2.04
H 0.7520 0.0144 0.0587  3 Ti 1.93-1.96, 1 Ta 1.94, 2 H 2.02-2.04
H 0.2480 0.9856 0.9413  3 Ti 1.93-1.96, 1 Ta 1.94, 2 H 2.02-2.04
H 0.7520 0.5144 0.4413  3 Ti 1.93-1.96, 1 Ta 1.94, 2 H 2.02-2.04
H 0.7520 0.4856 0.0587  3 Ti 1.93-1.96, 1 Ta 1.94, 2 H 2.02-2.04
H 0.2480 0.4856 0.5587  3 Ti 1.93-1.96, 1 Ta 1.94, 2 H 2.02-2.04
H 0.2480 0.0144 0.5587  3 Ti 1.93-1.96, 1 Ta 1.94, 2 H 2.02-2.04
H 0.2603 0.0000 0.2500  4 Ta 2.03-2.04
H 0.2480 0.5144 0.9413  3 Ti 1.93-1.96, 1 Ta 1.94, 2 H 2.02-2.04
H 0.7397 0.5000 0.7500  4 Ta 2.03-2.04
Ta 0.2372 0.2500 0.6868  6 H 1.94-2.04
Ta 0.7628 0.2500 0.1868  6 H 1.94-2.04
Ta 0.7628 0.7500 0.3132  6 H 1.94-2.04
Ta 0.2372 0.7500 0.8132  6 H 1.94-2.04

Density, g cm⁻³: 9.07
Space-group type: No. 57

Q: Which of them is the most stable? A: three.

one:
Ta2TiH2 | PBE | relaxed

Lattice parameters (Å, degrees): 5.6273 4.7787 5.5710 65.46 63.05 64.75
With the nearest neighbours (Å) after each atom.
Element x y z (fractional)
H 0.8068 0.5928 0.9958  2 Ti 1.91-1.92, 2 Ta 1.91, 1 H 1.98
H 0.1960 0.5706 0.3860  2 Ti 1.89-1.91, 2 Ta 1.92-1.93
H 0.8040 0.4294 0.6140  2 Ti 1.89-1.91, 2 Ta 1.92-1.93
H 0.1932 0.4072 0.0042  2 Ti 1.91-1.92, 2 Ta 1.91, 1 H 1.98
Ta 0.4203 0.6835 0.7393  2 H 1.91-1.93
Ta 0.5797 0.3165 0.2607  2 H 1.91-1.93
Ta 0.2535 0.9853 0.2575  2 H 1.91-1.92
Ta 0.7465 0.0147 0.7425  2 H 1.91-1.92
Ti 0.9122 0.6773 0.2373  4 H 1.89-1.92
Ti 0.0878 0.3227 0.7627  4 H 1.89-1.92

Density, g cm⁻³: 11.78
Space-group type: No. 2

two:
Ta2TiH2 | PBE | relaxed

Lattice parameters (Å, degrees): 5.5526 5.5634 5.5634 90.00 120.12 120.12
With the nearest neighbours (Å) after each atom.
Element x y z (fractional)
Ta 0.0000 0.0000 0.5000  2 H 1.97
Ta 0.5000 0.5000 0.5000  2 H 1.97
Ta 0.0000 0.5000 0.5000  2 H 1.97
Ta 0.5000 0.5000 0.0000  2 H 1.97
H 0.7086 0.1033 0.2104  2 Ta 1.97, 2 Ti 1.99-2.04, 1 H 2.01
H 0.7914 0.7896 0.8967  2 Ta 1.97, 2 Ti 1.99-2.04, 1 H 2.01
H 0.2914 0.8967 0.7896  2 Ta 1.97, 2 Ti 1.99-2.04, 1 H 2.01
H 0.2086 0.2104 0.1033  2 Ta 1.97, 2 Ti 1.99-2.04, 1 H 2.01
Ti 0.7500 0.1341 0.8659  4 H 1.99-2.04
Ti 0.2500 0.8659 0.1341  4 H 1.99-2.04

Density, g cm⁻³: 11.29
Space-group type: No. 15

Q: Which of them is the most stable? A: one.

one:
Ta3TiH | PBE | relaxed

Lattice parameters (Å, degrees): 4.2222 4.2222 4.2222 90.00 90.00 90.00
With the nearest neighbours (Å) after each atom.
Element x y z (fractional)
H 0.0000 0.0000 0.0000  6 Ta 2.11
Ta 0.0000 0.0000 0.5000  2 H 2.11
Ta 0.0000 0.5000 0.0000  2 H 2.11
Ta 0.5000 0.0000 0.0000  2 H 2.11
Ti 0.5000 0.5000 0.5000  12 Ta 2.99

Density, g cm⁻³: 13.05
Space-group type: No. 221

two:
Ta3TiH | PBE | relaxed

Lattice parameters (Å, degrees): 4.7044 4.7044 4.7044 90.00 90.00 90.00
With the nearest neighbours (Å) after each atom.
Element x y z (fractional)
Ta 0.0000 0.0000 0.5000  2 Ti 2.35
Ta 0.0000 0.5000 0.0000  2 Ti 2.35
Ta 0.5000 0.0000 0.0000  2 Ti 2.35
Ti 0.0000 0.0000 0.0000  6 Ta 2.35
H 0.5000 0.5000 0.5000  12 Ta 3.33

Density, g cm⁻³: 9.44
Space-group type: No. 221

Q: Which of them is the most stable? A: one.

one:
TaTlH2 | PBE | relaxed

Lattice parameters (Å, degrees): 5.8252 5.8252 5.0960 55.14 55.14 90.00
With the nearest neighbours (Å) after each atom.
Element x y z (fractional)
Ta 0.2500 0.7500 0.5000  4 H 1.86
Ta 0.5000 0.5000 0.0000  4 H 1.86
H 0.2230 0.6250 0.2500  2 Ta 1.86
H 0.8750 0.7770 0.7500  2 Ta 1.86
H 0.3750 0.4730 0.7500  2 Ta 1.86
H 0.5270 0.1250 0.2500  2 Ta 1.86
Tl 0.7500 0.2500 0.5000  8 H 2.61-2.82
Tl 0.0000 0.0000 0.0000  8 H 2.61-2.82

Density, g cm⁻³: 12.63
Space-group type: No. 122

two:
TaTlH2 | PBE | relaxed

Lattice parameters (Å, degrees): 4.1066 4.1066 4.1066 60.00 60.00 60.00
With the nearest neighbours (Å) after each atom.
Element x y z (fractional)
H 0.7500 0.7500 0.7500  4 Tl 2.51, 4 Ta 2.51
H 0.2500 0.2500 0.2500  4 Tl 2.51, 4 Ta 2.51
Tl 0.5000 0.5000 0.5000  8 H 2.51
Ta 0.0000 0.0000 0.0000  8 H 2.51

Density, g cm⁻³: 13.13
Space-group type: No. 225

Q: Which of them is the most stable? A: one.

one:
Ta2TlH | PBE | relaxed

Lattice parameters (Å, degrees): 5.5181 5.5181 6.0392 62.82 62.82 90.00
With the nearest neighbours (Å) after each atom.
Element x y z (fractional)
Ta 0.3750 0.6250 0.7500  2 H 1.80
Ta 0.8750 0.6250 0.7500  2 H 1.80
Ta 0.3750 0.6250 0.2500  2 H 1.80
Ta 0.3750 0.1250 0.2500  2 H 1.80
H 0.5000 0.5000 0.0000  4 Ta 1.80
H 0.2500 0.7500 0.5000  4 Ta 1.80
Tl 0.0000 0.0000 0.0000  8 Ta 3.29, 4 H 3.60, 4 Tl 3.60
Tl 0.7500 0.2500 0.5000  8 Ta 3.29, 4 Tl 3.60, 4 H 3.60

Density, g cm⁻³: 13.42
Space-group type: No. 141

two:
Ta2TlH | PBE | relaxed

Lattice parameters (Å, degrees): 4.5735 4.5735 4.5735 60.00 60.00 60.00
With the nearest neighbours (Å) after each atom.
Element x y z (fractional)
Tl 0.5000 0.5000 0.5000  8 Ta 2.80
Ta 0.7500 0.7500 0.7500  4 Tl 2.80, 4 H 2.80
Ta 0.2500 0.2500 0.2500  4 Tl 2.80, 4 H 2.80
H 0.0000 0.0000 0.0000  8 Ta 2.80

Density, g cm⁻³: 13.93
Space-group type: No. 225

Q: Which of them is the most stable? A: one.

one:
Ta2VH3 | PBE | relaxed

Lattice parameters (Å, degrees): 4.6989 4.6989 6.0468 90.00 90.00 120.00
With the nearest neighbours (Å) after each atom.
Element x y z (fractional)
H 0.2819 0.1410 0.7439  1 V 1.71, 1 Ta 1.87
H 0.8590 0.7181 0.7439  1 V 1.71, 1 Ta 1.87
H 0.7181 0.8590 0.2561  1 V 1.71, 1 Ta 1.87
H 0.1410 0.2819 0.2561  1 V 1.71, 1 Ta 1.87
H 0.8590 0.1410 0.7439  1 V 1.71, 1 Ta 1.87
H 0.1410 0.8590 0.2561  1 V 1.71, 1 Ta 1.87
Ta 0.0000 0.0000 0.0000  6 H 1.93
Ta 0.3333 0.6667 0.6804  6 H 2.39
Ta 0.6667 0.3333 0.3196  6 H 2.39
Ta 0.0000 0.0000 0.5000  6 H 1.87
V 0.6667 0.3333 0.8565  3 H 1.71
V 0.3333 0.6667 0.1435  3 H 1.71

Density, g cm⁻³: 11.94
Space-group type: No. 164

two:
Ta2VH3 | PBE | relaxed

Lattice parameters (Å, degrees): 5.1401 5.0524 5.0524 62.17 89.94 89.94
With the nearest neighbours (Å) after each atom.
Element x y z (fractional)
V 0.2500 0.1415 0.8585  1 H 1.71
V 0.7500 0.8585 0.1415  1 H 1.71
H 0.7500 0.5305 0.4695  1 V 1.71, 2 Ta 1.83
H 0.5001 0.8423 0.8418  2 V 2.02, 4 Ta 2.14-2.15
H 0.9999 0.1582 0.1577  2 V 2.02, 4 Ta 2.14-2.15
H 0.0001 0.8418 0.8423  2 V 2.02, 4 Ta 2.14-2.15
H 0.4999 0.1577 0.1582  2 V 2.02, 4 Ta 2.14-2.15
H 0.2500 0.4695 0.5305  1 V 1.71, 2 Ta 1.83
Ta 0.2501 0.4981 0.1553  1 H 1.83
Ta 0.7499 0.5019 0.8447  1 H 1.83
Ta 0.7501 0.1553 0.4981  1 H 1.83
Ta 0.2499 0.8447 0.5019  1 H 1.83

Density, g cm⁻³: 11.90
Space-group type: No. 15

Q: Which of them is the most stable? A: two.

one:
Ta2VHW | PBE | relaxed

Lattice parameters (Å, degrees): 4.4865 4.4865 3.3821 90.00 90.00 90.00
With the nearest neighbours (Å) after each atom.
Element x y z (fractional)
H 0.0000 0.0000 0.0000  2 V 1.69
Ta 0.0000 0.5000 0.0000  2 H 2.24
Ta 0.5000 0.0000 0.0000  2 H 2.24
V 0.0000 0.0000 0.5000  2 H 1.69
W 0.5000 0.5000 0.5000  8 Ta 2.81

Density, g cm⁻³: 14.58
Space-group type: No. 123

two:
Ta2VHW | PBE | relaxed

Lattice parameters (Å, degrees): 4.8900 3.1474 4.8900 90.00 90.00 90.00
With the nearest neighbours (Å) after each atom.
Element x y z (fractional)
W 0.5000 0.5000 0.5000  8 Ta 2.91, 2 W 3.15
H 0.0000 0.5000 0.0000  2 V 1.57
V 0.0000 0.0000 0.0000  2 H 1.57
Ta 0.5000 0.0000 0.0000  2 V 2.45
Ta 0.0000 0.0000 0.5000  2 V 2.45

Density, g cm⁻³: 13.19
Space-group type: No. 123

Q: Which of them is the most stable? A: one.

one:
Ta3HW | PBE | relaxed

Lattice parameters (Å, degrees): 4.9010 4.9010 4.9010 90.00 90.00 90.00
With the nearest neighbours (Å) after each atom.
Element x y z (fractional)
Ta 0.0000 0.0000 0.5000  2 W 2.45
Ta 0.0000 0.5000 0.0000  2 W 2.45
Ta 0.5000 0.0000 0.0000  2 W 2.45
W 0.0000 0.0000 0.0000  6 Ta 2.45
H 0.5000 0.5000 0.5000  12 Ta 3.47

Density, g cm⁻³: 10.26
Space-group type: No. 221

two:
Ta3HW | PBE | relaxed

Lattice parameters (Å, degrees): 4.2028 4.2028 4.2028 90.00 90.00 90.00
With the nearest neighbours (Å) after each atom.
Element x y z (fractional)
H 0.0000 0.0000 0.0000  6 Ta 2.10
W 0.5000 0.5000 0.5000  12 Ta 2.97
Ta 0.5000 0.0000 0.0000  2 H 2.10
Ta 0.0000 0.0000 0.5000  2 H 2.10
Ta 0.0000 0.5000 0.0000  2 H 2.10

Density, g cm⁻³: 16.28
Space-group type: No. 221

Q: Which of them is the most stable? A: two.